Entry from Alexandria via LeMat-Bulk: a relaxed structure of CsAg3Pt (PBEsol).

a b c (Å): 5.3947 5.3947 5.3947
angles (deg): 90.00 90.00 90.00
Space group Pm-3m (No. 221)
Asymmetric unit:
1 Cs 0.0000 0.0000 0.0000 (multiplicity 1)
2 Ag 0.0000 0.0000 0.5000 (multiplicity 3)
3 Pt 0.5000 0.5000 0.5000 (multiplicity 1)

Results
- Calculated volume: 31.4 Å³/atom
- Magnetization: 0.00 Bohr magnetons per cell
- Calculated formation energy: 2079 meV/atom